Record 1
TaIn2Ag (PBE, optimized geometry); energy of formation from the pure elements = 0.25 eV/atom; energy = -4.80 eV per atom; energy above the most stable polymorph in this dataset = 38 kJ/mol of formula units; space-group type = R3m (160)
1.0
1.551 0.896 9.967
-1.551 0.896 9.967
0.000 -1.792 9.967
Ta In Ag
1 2 1
direct
0.000 0.000 0.000 Ta
0.251 0.251 0.251 In
0.495 0.495 0.495 In
0.745 0.745 0.745 Ag

---

Record 2
NbCuRh (PBE, optimized geometry); energy of formation from the pure elements = -0.16 eV/atom; energy = -7.33 eV per atom; space-group type = P3m1 (156)
1.0
4.349 0.000 0.000
-2.174 3.766 0.000
0.000 0.000 2.738
Nb Cu Rh
1 1 1
direct
0.000 0.000 0.000 Nb
0.333 0.667 0.552 Cu
0.667 0.333 0.393 Rh